Record 1
This record from the Alexandria database describes an optimized crystal structure of CeGeP2. The functional is GGA-PBE.

Calculated values
**Uncorrected energy**: -66.19 eV/cell
**Volume**: 348.0 Å³/cell
**Magnetic moment**: 0.0 μB/cell
**Density**: 3.933 g/cm3
**Relative energy among the computed polymorphs**: 456 meV/atom
**Formation energy from the elements**: -173 meV per atom

Cell and atoms, written as CIF:
```
data_CeGeP2
_cell_length_a 4.2758
_cell_length_b 4.2758
_cell_length_c 21.9763
_cell_angle_alpha 90.00
_cell_angle_beta 90.00
_cell_angle_gamma 120.00
_symmetry_space_group_name_H-M 'R -3 m'
_symmetry_Int_Tables_number 166
_symmetry_space_group_name_Hall '-R 3 2"'
loop_
_atom_site_label
_atom_site_type_symbol
_atom_site_fract_x
_atom_site_fract_y
_atom_site_fract_z
_atom_site_occupancy
Ce1 Ce 0.0000 0.0000 0.0000 1
Ge1 Ge 0.0000 0.0000 0.5000 1
P1 P 0.0000 0.0000 0.3958 1
```


Record 2
This record from the Alexandria database describes an optimized crystal structure of Ce4GeP3. The functional is GGA-PBE.

Calculated values
**Uncorrected energy**: -54.79 eV/cell
**Volume**: 199.0 Å³/cell
**Magnetic moment**: 2.0 μB/cell
**Density**: 6.059 g/cm3
**Formation energy from the elements**: -1277 meV per atom

Cell and atoms, written as CIF:
```
data_Ce4GeP3
_cell_length_a 5.838
_cell_length_b 5.838
_cell_length_c 5.838
_cell_angle_alpha 90.00
_cell_angle_beta 90.00
_cell_angle_gamma 90.00
_symmetry_space_group_name_H-M 'P m -3 m'
_symmetry_Int_Tables_number 221
_symmetry_space_group_name_Hall '-P 4 2 3'
loop_
_atom_site_label
_atom_site_type_symbol
_atom_site_fract_x
_atom_site_fract_y
_atom_site_fract_z
_atom_site_occupancy
Ce1 Ce 0.000 0.000 0.000 1
Ce2 Ce 0.000 0.500 0.500 1
Ge1 Ge 0.500 0.500 0.500 1
P1 P 0.000 0.000 0.500 1
```


Record 3
This record from the Alexandria database describes an optimized crystal structure of Ce2GeP4. The functional is GGA-PBE.

Calculated values
**Uncorrected energy**: -87.21 eV/cell
**Volume**: 294.9 Å³/cell
**Magnetic moment**: 2.0 μB/cell
**Density**: 5.369 g/cm3
**Formation energy from the elements**: -783 meV per atom

Cell and atoms, written as CIF:
```
data_Ce2GeP4
_cell_length_a 6.813
_cell_length_b 5.556
_cell_length_c 8.170
_cell_angle_alpha 90.00
_cell_angle_beta 107.53
_cell_angle_gamma 90.00
_symmetry_space_group_name_H-M 'P 1 21/m 1'
_symmetry_Int_Tables_number 11
_symmetry_space_group_name_Hall '-P 2yb'
loop_
_atom_site_label
_atom_site_type_symbol
_atom_site_fract_x
_atom_site_fract_y
_atom_site_fract_z
_atom_site_occupancy
Ce1 Ce 0.237 0.250 0.436 1
Ce2 Ce 0.249 0.250 0.935 1
Ge1 Ge 0.245 0.750 0.187 1
P1 P 0.077 0.750 0.396 1
P2 P 0.082 0.750 0.894 1
P3 P 0.480 0.529 0.741 1
```


Record 4
This record from the Alexandria database describes an optimized crystal structure of Ce5GeP4. The functional is GGA-PBE.

Calculated values
**Uncorrected energy**: -138.35 eV/cell
**Volume**: 494.3 Å³/cell
**Magnetic moment**: 5.3 μB/cell
**Density**: 6.027 g/cm3
**Formation energy from the elements**: -1325 meV per atom

Cell and atoms, written as CIF:
```
data_Ce5GeP4
_cell_length_a 9.211
_cell_length_b 9.211
_cell_length_c 5.827
_cell_angle_alpha 90.00
_cell_angle_beta 90.00
_cell_angle_gamma 90.00
_symmetry_space_group_name_H-M 'I 4/m'
_symmetry_Int_Tables_number 87
_symmetry_space_group_name_Hall '-I 4'
loop_
_atom_site_label
_atom_site_type_symbol
_atom_site_fract_x
_atom_site_fract_y
_atom_site_fract_z
_atom_site_occupancy
Ce1 Ce 0.000 0.000 0.000 1
Ce2 Ce 0.103 0.306 0.500 1
Ge1 Ge 0.000 0.000 0.500 1
P1 P 0.101 0.300 0.000 1
```